Entry 1:
Sn2PbCl6 | Alexandria via LeMat-Bulk | GGA-PBE | optimized geometry; energy = -64.44 eV per cell; energy relative to the elements, uncorrected = -1.048 eV/atom
1.0
7.573 0.000 0.000
0.000 6.401 0.000
-7.311 0.000 12.654
Sn Pb Cl
4 2 12
Cartesian
0.057 0.012 2.222 Sn
-3.598 3.188 8.549 Sn
3.861 3.213 4.105 Sn
0.205 6.389 10.432 Sn
3.786 0.000 0.000 Pb
0.131 3.201 6.327 Pb
-6.072 1.405 12.293 Cl
-2.416 1.796 5.966 Cl
-0.888 4.759 4.087 Cl
-4.543 4.843 10.414 Cl
-1.495 4.780 8.194 Cl
2.161 4.822 1.867 Cl
-1.899 1.579 10.787 Cl
1.757 1.622 4.460 Cl
4.805 1.558 2.240 Cl
1.150 1.643 8.567 Cl
2.679 4.606 6.688 Cl
6.334 4.996 0.361 Cl

***

Entry 2:
Tm4GePb | Alexandria via LeMat-Bulk | GGA-PBE | optimized geometry; energy = -54.79 eV per cell
1.0
5.912 0.000 0.000
0.000 8.404 0.000
-1.914 0.000 7.348
Tm Ge Pb
8 2 2
Cartesian
-0.484 0.427 1.995 Tm
-0.484 3.775 1.995 Tm
2.017 2.101 0.060 Tm
1.772 6.303 3.589 Tm
2.226 2.101 3.758 Tm
1.980 6.303 7.288 Tm
4.482 4.629 5.352 Tm
4.482 7.977 5.352 Tm
-0.648 2.101 4.310 Ge
4.646 6.303 3.038 Ge
1.016 6.303 0.570 Pb
2.982 2.101 6.778 Pb

***

| no. | calculated volume (Å³/f.u.) |
| --- | --- |
| 1 | 307 |
| 2 | 183 |